Compound: MgPd2Br
Source: the Alexandria database
Functional: GGA-PBE
Structure: relaxed

a b c (Å): 4.004 4.004 9.903
angles (deg): 78.34 78.34 90.00
Positions (direct):
Mg: 0.500 0.500 0.000
Mg: 0.250 0.750 0.500
Pd: 0.131 0.625 0.250
Pd: 0.619 0.125 0.250
Pd: 0.875 0.869 0.750
Pd: 0.375 0.381 0.750
Br: 0.750 0.250 0.500
Br: 0.000 0.000 0.000

Total magnetic moment in μB per formula unit: 0.0
Uncorrected energy in eV/atom: -3.577
N(E_F) in states/eV per atom: 0.496
Energy relative to the elements, uncorrected in meV per atom: -164
Energy relative to the lowest polymorph listed for this composition in eV per atom: 0.000


Compound: LaGa2IrBr
Source: the Alexandria database
Functional: GGA-PBE
Structure: relaxed

a b c (Å): 4.920 5.741 4.920
angles (deg): 90.00 90.00 90.00
Positions (direct):
Br: 0.500 0.500 0.500
Ga: 0.000 0.000 0.500
Ga: 0.500 0.000 0.000
Ir: 0.000 0.000 0.000
La: 0.000 0.500 0.000

Total magnetic moment in μB per formula unit: 0.0
Uncorrected energy in eV/atom: -5.138
N(E_F) in states/eV per atom: 0.367
Energy relative to the elements, uncorrected in meV per atom: -835